LaSmHf | the Open Quantum Materials Database | PBE | relaxed; total magnetization = 0.10 Bohr magnetons per cell; formation enthalpy at 0 K = 0.247 eV/atom; ΔE to the lowest computed polymorph = 0 meV per atom
1.0
2.721 -4.923 0.000
2.721 4.923 0.000
0.000 0.000 6.633
Hf Sm La
2 2 2
direct
0.000 0.000 0.000 Hf
0.000 0.000 0.500 Hf
0.356 0.644 0.250 Sm
0.644 0.356 0.750 Sm
0.322 0.678 0.750 La
0.678 0.322 0.250 La